Record 1
KCa2Cl | PBE-GGA | relaxed

Distance to the lowest polymorph of the same formula   504 meV per atom
DOS(E_F)   0.866 states/eV/atom
SG   No. 47

a b c (Å): 3.9288 5.7910 7.1746
angles (deg): 90.00 90.00 90.00
Positions (direct):
K: 0.0000 0.0000 0.0000
Ca: 0.5000 0.5000 0.2598
Ca: 0.5000 0.5000 0.7402
Cl: 0.0000 0.0000 0.5000

---

Record 2
KCaCl | PBE-GGA | relaxed

Distance to the lowest polymorph of the same formula   714 meV per atom
SG   No. 216

a b c (Å): 6.0181 6.0181 6.0181
angles (deg): 60.00 60.00 60.00
Positions (direct):
K: 0.0000 0.0000 0.0000
Ca: 0.7500 0.7500 0.7500
Cl: 0.2500 0.2500 0.2500

---

Record 3
KCa2Cl | PBE-GGA | relaxed

Distance to the lowest polymorph of the same formula   464 meV per atom
DOS(E_F)   0.632 states/eV/atom
SG   No. 65

a b c (Å): 6.9487 6.9487 3.8872
angles (deg): 90.00 90.00 119.14
Positions (direct):
K: 0.0000 0.0000 0.0000
Ca: 0.0000 0.5000 0.5000
Ca: 0.5000 0.0000 0.5000
Cl: 0.5000 0.5000 0.0000

---

Record 4
KCa2Cl | PBE-GGA | relaxed

Distance to the lowest polymorph of the same formula   658 meV per atom
DOS(E_F)   0.814 states/eV/atom
SG   No. 225

a b c (Å): 6.2314 6.2314 6.2314
angles (deg): 60.00 60.00 60.00
Positions (direct):
K: 0.0000 0.0000 0.0000
Ca: 0.2500 0.2500 0.2500
Ca: 0.7500 0.7500 0.7500
Cl: 0.5000 0.5000 0.5000

---

Record 5
KCa2Cl | PBE-GGA | relaxed

Distance to the lowest polymorph of the same formula   470 meV per atom
DOS(E_F)   0.372 states/eV/atom
SG   No. 119

a b c (Å): 7.2332 7.2332 7.2332
angles (deg): 138.77 138.77 59.72
Positions (direct):
K: 0.0000 0.0000 0.0000
Ca: 0.2500 0.7500 0.5000
Ca: 0.5000 0.5000 0.0000
Cl: 0.7500 0.2500 0.5000

---

Record 6
KCa2Cl | PBE-GGA | relaxed

Distance to the lowest polymorph of the same formula   345 meV per atom
DOS(E_F)   0.431 states/eV/atom
SG   No. 12

a b c (Å): 7.5110 7.5110 4.0118
angles (deg): 105.41 105.41 121.12
Positions (direct):
K: 0.0000 0.0000 0.0000
Ca: 0.0000 0.5000 0.5000
Ca: 0.5000 0.0000 0.5000
Cl: 0.5000 0.5000 0.0000

---

Record 7
KCa2Cl | PBE-GGA | relaxed

Distance to the lowest polymorph of the same formula   65 meV per atom
DOS(E_F)   0.670 states/eV/atom
SG   No. 99

a b c (Å): 3.7690 3.7690 10.3800
angles (deg): 90.00 90.00 90.00
Positions (direct):
K: 0.0000 0.0000 0.0000
Ca: 0.0000 0.0000 0.6085
Ca: 0.5000 0.5000 0.3359
Cl: 0.5000 0.5000 0.7936

---

Record 8
KCa2Cl | PBE-GGA | relaxed

Distance to the lowest polymorph of the same formula   360 meV per atom
DOS(E_F)   0.528 states/eV/atom
SG   No. 139

a b c (Å): 7.7354 7.7354 7.7354
angles (deg): 142.92 142.92 53.45
Positions (direct):
K: 0.0000 0.0000 0.0000
Ca: 0.2500 0.7500 0.5000
Ca: 0.7500 0.2500 0.5000
Cl: 0.5000 0.5000 0.0000